1.
Zr2TaIr: relaxed, GGA-PBE.

Calculated values
* symmetry: No. 166
* polymorph energy (0 for the lowest one): 288 meV/atom
* total energy: -9.55 eV per atom
* crystal system: trigonal
* calculated formation energy: -0.098 eV/atom
* M_tot: 0.00 Bohr magnetons per cell

Lattice parameters (Å, degrees): 9.4308 9.4308 9.4308 19.05 19.05 19.05
Closest atoms and distances in Å follow each position.
Element x y z (fractional)
1 Ta 0.7500 0.7500 0.7500  6 Zr 3.03, 6 Ta 3.12
2 Zr 0.5045 0.5045 0.5045  3 Ir 2.84, 3 Ta 3.03, 6 Zr 3.12
3 Zr 0.9955 0.9955 0.9955  3 Ir 2.84, 3 Ta 3.03, 6 Zr 3.12
4 Ir 0.2500 0.2500 0.2500  6 Zr 2.84, 6 Ir 3.12


2.
NpGe2P2Ir7: relaxed, GGA-PBE.

Calculated values
* symmetry: No. 12
* total energy: -8.12 eV per atom
* crystal system: monoclinic
* calculated formation energy: -0.202 eV/atom
* M_tot: 1.05 Bohr magnetons per cell

Lattice parameters (Å, degrees): 3.8648 3.8648 14.3178 85.39 85.39 89.20
Closest atoms and distances in Å follow each position.
Element x y z (fractional)
1 P 0.5733 0.5733 0.7524  5 Ir 2.28-2.39
2 P 0.4267 0.4267 0.2476  5 Ir 2.28-2.39
3 Ir 0.4560 0.9559 0.1483  2 P 2.39
4 Ir 0.5440 0.0441 0.8517  2 P 2.39
5 Ir 0.4019 0.4019 0.4078  1 P 2.28, 1 Ge 2.44
6 Ir 0.0441 0.5440 0.8517  2 P 2.39
7 Ir 0.5000 0.5000 0.0000  4 Np 2.71-2.75, 8 Ir 2.86
8 Ir 0.5981 0.5981 0.5922  1 P 2.28, 1 Ge 2.44
9 Ir 0.9559 0.4560 0.1483  2 P 2.39
10 Np 0.0000 0.0000 0.0000  12 Ir 2.71-2.86
11 Ge 0.1619 0.1619 0.5750  2 Ir 2.44-2.60
12 Ge 0.8381 0.8381 0.4250  2 Ir 2.44-2.60


3.
LaSbSe: relaxed, GGA-PBE.

Calculated values
* symmetry: No. 187
* total energy: -5.07 eV per atom
* crystal system: hexagonal
* M_tot: 0.00 Bohr magnetons per cell

Lattice parameters (Å, degrees): 5.0273 5.0273 4.0883 90.00 90.00 120.00
Closest atoms and distances in Å follow each position.
Element x y z (fractional)
1 Sb 0.6667 0.3333 0.3332  6 Se 3.55, 6 La 3.55
2 Se 0.3333 0.6667 0.8338  3 La 2.90
3 La 0.0000 0.0000 0.8331  3 Se 2.90


total energy of number 1 (Zr2TaIr)?
-9.55 eV per atom